[1]
Material: Fe5P3
Method: DFT, GGA-PBE
State: relaxed

Results
energy of formation	-0.376	eV/atom
calculated density	7.079	Mg/m³

Cell: 6.4231 6.4231 4.8869 Å, 90.00 90.00 120.00°
Space group P6_3/mcm (No. 193)
One atom of each set of equivalent atoms:
Fe: 0.0000 0.2528 0.2500 [6 per cell]
Fe: 0.3333 0.6667 0.0000 [4 per cell]
P: 0.0000 0.3939 0.7500 [6 per cell]

***

[2]
Material: FeP
Method: DFT, GGA-PBE
State: relaxed

Results
energy of formation	-0.291	eV/atom
calculated density	6.550	Mg/m³

Cell: 7.959 2.791 6.228 Å, 90.00 107.37 90.00°
Space group Cm (No. 8)
One atom of each set of equivalent atoms:
Fe: 0.000 0.000 0.000 [2 per cell]
Fe: 0.072 0.000 0.620 [2 per cell]
Fe: 0.248 0.500 0.355 [2 per cell]
P: 0.203 0.500 0.931 [2 per cell]
P: 0.365 0.000 0.684 [2 per cell]
P: 0.455 0.000 0.293 [2 per cell]

***

[3]
Material: FeP
Method: DFT, GGA-PBE
State: relaxed

Results
energy of formation	-0.172	eV/atom
calculated density	6.707	Mg/m³

Cell: 2.780 2.780 2.780 Å, 90.00 90.00 90.00°
Space group Pm-3m (No. 221)
One atom of each set of equivalent atoms:
Fe: 0.000 0.000 0.000 [1 per cell]
P: 0.500 0.500 0.500 [1 per cell]

***

[4]
Material: FeP
Method: DFT, GGA-PBE
State: relaxed

Results
energy of formation	0.052	eV/atom
calculated density	4.884	Mg/m³

Cell: 2.6978 2.6978 28.1020 Å, 90.00 90.00 120.00°
Space group R-3m (No. 166, hexagonal axes)
One atom of each set of equivalent atoms:
Fe: 0.0000 0.0000 0.1313 [6 per cell]
P: 0.0000 0.0000 0.4056 [6 per cell]

***

[5]
Material: FeP
Method: DFT, GGA-PBE
State: relaxed

Results
energy of formation	-0.328	eV/atom
calculated density	6.421	Mg/m³

Cell: 3.078 3.078 4.741 Å, 90.00 90.00 90.00°
Space group P4/nmm (No. 129, origin choice 2)
One atom of each set of equivalent atoms:
Fe: 0.250 0.250 0.180 [2 per cell]
P: 0.250 0.250 0.667 [2 per cell]

***

[6]
Material: FeP3
Method: DFT, GGA-PBE
State: relaxed

Results
energy of formation	0.082	eV/atom
calculated density	4.350	Mg/m³

Cell: 3.193 6.801 5.230 Å, 90.00 90.00 90.00°
Space group Pmmn (No. 59, origin choice 2)
One atom of each set of equivalent atoms:
Fe: 0.250 0.250 0.127 [2 per cell]
P: 0.250 0.006 0.823 [4 per cell]
P: 0.250 0.750 0.547 [2 per cell]

***

[7]
Material: FeP5
Method: DFT, GGA-PBE
State: relaxed

Results
energy of formation	0.719	eV/atom
calculated density	2.952	Mg/m³

Cell: 4.3527 4.3527 7.2231 Å, 90.00 90.00 120.00°
Space group P6/mmm (No. 191)
One atom of each set of equivalent atoms:
Fe: 0.0000 0.0000 0.0000 [1 per cell]
P: 0.0000 0.5000 0.5000 [3 per cell]
P: 0.3333 0.6667 0.0000 [2 per cell]

***

[8]
Material: FeP3
Method: DFT, GGA-PBE
State: relaxed

Results
energy of formation	0.223	eV/atom
calculated density	2.555	Mg/m³

Cell: 7.7382 7.7382 3.7283 Å, 90.00 90.00 120.00°
Space group P6_3/mmc (No. 194)
One atom of each set of equivalent atoms:
Fe: 0.3333 0.6667 0.2500 [2 per cell]
P: 0.2356 0.4713 0.7500 [6 per cell]

***

[9]
Material: FeP5
Method: DFT, GGA-PBE
State: relaxed

Results
energy of formation	0.106	eV/atom
calculated density	2.696	Mg/m³

Cell: 12.870 3.207 7.462 Å, 90.00 122.56 90.00°
Space group Cm (No. 8)
One atom of each set of equivalent atoms:
Fe: 0.000 0.000 0.000 [2 per cell]
P: 0.116 0.500 0.946 [2 per cell]
P: 0.130 0.500 0.258 [2 per cell]
P: 0.345 0.000 0.799 [2 per cell]
P: 0.435 0.000 0.153 [2 per cell]
P: 0.449 0.500 0.677 [2 per cell]

***

[10]
Material: FeP3
Method: DFT, GGA-PBE
State: relaxed

Results
energy of formation	0.460	eV/atom
calculated density	4.862	Mg/m³

Cell: 5.118 6.632 2.994 Å, 90.00 90.00 90.00°
Space group Cmmm (No. 65)
One atom of each set of equivalent atoms:
Fe: 0.000 0.000 0.000 [2 per cell]
P: 0.000 0.500 0.000 [2 per cell]
P: 0.250 0.250 0.500 [4 per cell]

***

[11]
Material: FeP
Method: DFT, GGA-PBE
State: relaxed

Results
energy of formation	-0.597	eV/atom
calculated density	6.381	Mg/m³

Cell: 5.149 3.049 5.757 Å, 90.00 90.00 90.00°
Space group Pnma (No. 62)
One atom of each set of equivalent atoms:
Fe: 0.001 0.250 0.202 [4 per cell]
P: 0.191 0.250 0.567 [4 per cell]

***

[12]
Material: FeP
Method: DFT, GGA-PBE
State: relaxed

Results
energy of formation	0.290	eV/atom
calculated density	5.962	Mg/m³

Cell: 5.783 5.783 5.783 Å, 90.00 90.00 90.00°
Space group Fd-3m (No. 227, origin choice 2)
One atom of each set of equivalent atoms:
Fe: 0.125 0.125 0.125 [8 per cell]
P: 0.125 0.125 0.625 [8 per cell]

***

Number 1: total DFT energy (no corrections) -7.694 eV per atom. Number 2: total DFT energy (no corrections) -7.227 eV per atom. Number 3: total DFT energy (no corrections) -7.108 eV per atom. Number 4: total DFT energy (no corrections) -6.885 eV per atom. Number 5: total DFT energy (no corrections) -7.265 eV per atom. Number 6: total DFT energy (no corrections) -6.091 eV per atom. Number 7: total DFT energy (no corrections) -5.200 eV per atom. Number 8: total DFT energy (no corrections) -5.950 eV per atom. Number 9: total DFT energy (no corrections) -5.813 eV per atom. Number 10: total DFT energy (no corrections) -5.713 eV per atom. Number 11: total DFT energy (no corrections) -7.534 eV per atom. Number 12: total DFT energy (no corrections) -6.646 eV per atom.